# 1
DFT (PBE) results for crystalline MgSiNiAu at its relaxed geometry.

Cell and atoms, written as extended XYZ:
```
4
Lattice="-4.138 -0.653 -1.344 -3.362 1.377 2.481 -2.450 3.410 -1.312" Properties=species:S:1:pos:R:3 pbc="T T T"
Mg -2.488 1.034 -0.044
Si 0.000 0.000 0.000
Ni -7.463 3.101 -0.131
Au -4.975 2.067 -0.087
```

## Properties
DFT total energy in eV per cell: -16.2
Total magnetization in μB per cell: 0.0



# 2
DFT (PBE) results for crystalline MgNiSnAu at its relaxed geometry.

Cell and atoms, written as extended XYZ:
```
4
Lattice="0.000 3.258 3.258 3.258 0.000 3.258 3.258 3.258 0.000" Properties=species:S:1:pos:R:3 pbc="T T T"
Mg 1.629 1.629 1.629
Au 3.258 3.258 3.258
Sn 0.000 0.000 0.000
Ni 4.887 4.887 4.887
```

## Properties
DFT total energy in eV per cell: -15.0
Total magnetization in μB per cell: 0.0



# 3
DFT (PBE) results for crystalline MgTlNiAu at its relaxed geometry.

Cell and atoms, written as extended XYZ:
```
4
Lattice="2.514 1.874 3.392 -1.277 4.028 1.866 -1.662 0.126 4.308" Properties=species:S:1:pos:R:3 pbc="T T T"
Au -0.212 3.014 4.783
Tl 0.000 0.000 0.000
Ni -0.318 4.521 7.175
Mg -0.106 1.507 2.392
```

## Properties
DFT total energy in eV per cell: -12.9
Total magnetization in μB per cell: 0.0



# 4
DFT (PBE) results for crystalline Mg3AuO at its relaxed geometry.

Cell and atoms, written as extended XYZ:
```
5
Lattice="4.224 0.000 0.000 0.000 4.224 0.000 0.000 0.000 4.224" Properties=species:S:1:pos:R:3 pbc="T T T"
Au 0.000 0.000 0.000
O 2.112 2.112 2.112
Mg 0.000 2.112 2.112
Mg 2.112 0.000 2.112
Mg 2.112 2.112 0.000
```

## Properties
DFT total energy in eV per cell: -19.1